1.
# ReGeIr, relaxed, DFT PBE-GGA
data_ReGeIr
_symmetry_space_group_name_H-M 'A m m 2'
_symmetry_Int_Tables_number 38
_cell_length_a 8.2506
_cell_length_b 3.9655
_cell_length_c 6.3322
_cell_angle_alpha 90.00
_cell_angle_beta 90.00
_cell_angle_gamma 90.00
loop_
_symmetry_equiv_pos_as_xyz
'x,y,z'
'-x,-y,z'
'-x,y,z'
'x,-y,z'
'x,y+1/2,z+1/2'
'-x,-y+1/2,z+1/2'
'-x,y+1/2,z+1/2'
'x,-y+1/2,z+1/2'
loop_
_atom_site_label
_atom_site_type_symbol
_atom_site_fract_x
_atom_site_fract_y
_atom_site_fract_z
Re1 Re 0.0000 0.0000 0.0000
Re2 Re 0.5000 0.0000 0.3452
Ge1 Ge 0.3308 0.0000 0.9980
Ir1 Ir 0.1625 0.0000 0.3457
# ΔE_f   0.2837 eV per atom
# Fermi-level density of states   6.633 states/eV/cell

2.
# CuSiB, relaxed, DFT PBE-GGA
data_CuSiB
_symmetry_space_group_name_H-M 'P -3 m 1'
_symmetry_Int_Tables_number 164
_symmetry_space_group_name_Hall '-P 3 2"'
_cell_length_a 3.5091
_cell_length_b 3.5091
_cell_length_c 6.7547
_cell_angle_alpha 90.00
_cell_angle_beta 90.00
_cell_angle_gamma 120.00
loop_
_atom_site_label
_atom_site_type_symbol
_atom_site_fract_x
_atom_site_fract_y
_atom_site_fract_z
Cu1 Cu 0.3333 0.6667 0.3883
Si1 Si 0.0000 0.0000 0.1746
B1 B 0.3333 0.6667 0.7278
# Formation energy from raw total energies   0.226 eV/atom
# Fermi-level density of states   1.023 states/eV/cell

3.
# BaSr3Ir, relaxed, DFT PBE-GGA
data_BaSr3Ir
_symmetry_space_group_name_H-M 'P m n 21'
_symmetry_Int_Tables_number 31
_cell_length_a 8.5938
_cell_length_b 7.5134
_cell_length_c 7.0998
_cell_angle_alpha 90.00
_cell_angle_beta 90.00
_cell_angle_gamma 90.00
loop_
_symmetry_equiv_pos_as_xyz
'x,y,z'
'-x+1/2,-y,z+1/2'
'-x,y,z'
'x+1/2,-y,z+1/2'
loop_
_atom_site_label
_atom_site_type_symbol
_atom_site_fract_x
_atom_site_fract_y
_atom_site_fract_z
Ba1 Ba 0.0000 0.1748 0.0000
Sr1 Sr 0.0000 0.8113 0.5236
Sr2 Sr 0.2499 0.3456 0.5138
Ir1 Ir 0.0000 0.4984 0.7654
# ΔE_f   -0.1612 eV per atom
# Fermi-level density of states   8.696 states/eV/cell
# Energy relative to the lowest polymorph listed for this composition   0.3 kJ per mole of atoms

4.
# Ti6InN, relaxed, DFT PBE-GGA
data_Ti6InN
_symmetry_space_group_name_H-M 'R -3 m'
_symmetry_Int_Tables_number 166
_symmetry_space_group_name_Hall '-R 3 2"'
_cell_length_a 5.7545
_cell_length_b 5.7545
_cell_length_c 14.2765
_cell_angle_alpha 90.00
_cell_angle_beta 90.00
_cell_angle_gamma 120.00
loop_
_atom_site_label
_atom_site_type_symbol
_atom_site_fract_x
_atom_site_fract_y
_atom_site_fract_z
Ti1 Ti 0.0104 0.5052 0.4087
In1 In 0.0000 0.0000 0.5000
N1 N 0.0000 0.0000 0.0000
# Formation energy from raw total energies   -0.172 eV/atom
# Fermi-level density of states   22.220 states/eV/cell

5.
# Pa3FeSi3, relaxed, DFT PBE-GGA
data_Pa3FeSi3
_symmetry_space_group_name_H-M 'C 1 2/m 1'
_symmetry_Int_Tables_number 12
_cell_length_a 10.4991
_cell_length_b 3.9451
_cell_length_c 13.5934
_cell_angle_alpha 90.00
_cell_angle_beta 107.00
_cell_angle_gamma 90.00
loop_
_symmetry_equiv_pos_as_xyz
'x,y,z'
'-x,-y,-z'
'-x,y,-z'
'x,-y,z'
'x+1/2,y+1/2,z'
'-x+1/2,-y+1/2,-z'
'-x+1/2,y+1/2,-z'
'x+1/2,-y+1/2,z'
loop_
_atom_site_label
_atom_site_type_symbol
_atom_site_fract_x
_atom_site_fract_y
_atom_site_fract_z
Pa1 Pa 0.0137 0.0000 0.3878
Pa2 Pa 0.1102 0.0000 0.9178
Pa3 Pa 0.2492 0.5000 0.7622
Fe1 Fe 0.2323 0.5000 0.3750
Si1 Si 0.0313 0.5000 0.2366
Si2 Si 0.1079 0.5000 0.0763
Si3 Si 0.1727 0.5000 0.5372
# Formation energy from raw total energies   -0.520 eV/atom
# Fermi-level density of states   41.493 states/eV/cell

6.
# Na3YF6, relaxed, DFT PBE-GGA
data_Na3YF6
_symmetry_space_group_name_H-M 'F m -3 m'
_symmetry_Int_Tables_number 225
_symmetry_space_group_name_Hall '-F 4 2 3'
_cell_length_a 8.7584
_cell_length_b 8.7584
_cell_length_c 8.7584
_cell_angle_alpha 90.00
_cell_angle_beta 90.00
_cell_angle_gamma 90.00
loop_
_atom_site_label
_atom_site_type_symbol
_atom_site_fract_x
_atom_site_fract_y
_atom_site_fract_z
Na1 Na 0.0000 0.0000 0.0000
Na2 Na 0.2500 0.2500 0.2500
Y1 Y 0.0000 0.0000 0.5000
F1 F 0.0000 0.0000 0.2527
# Formation energy from raw total energies   -3.135 eV/atom
# Fermi-level density of states   0.000 states/eV/cell
# Energy relative to the lowest polymorph listed for this composition   13.8 kJ per mole of atoms

7.
# La8GeAu2, relaxed, DFT PBE-GGA
data_La8GeAu2
_symmetry_space_group_name_H-M 'C 1 m 1'
_symmetry_Int_Tables_number 8
_cell_length_a 8.6662
_cell_length_b 14.1035
_cell_length_c 5.9140
_cell_angle_alpha 90.00
_cell_angle_beta 103.34
_cell_angle_gamma 90.00
loop_
_symmetry_equiv_pos_as_xyz
'x,y,z'
'x,-y,z'
'x+1/2,y+1/2,z'
'x+1/2,-y+1/2,z'
loop_
_atom_site_label
_atom_site_type_symbol
_atom_site_fract_x
_atom_site_fract_y
_atom_site_fract_z
La1 La 0.0000 0.0000 0.0000
La2 La 0.0203 0.3925 0.7942
La3 La 0.1469 0.1268 0.5468
La4 La 0.2335 0.5000 0.3869
La5 La 0.3384 0.2300 0.1815
Ge1 Ge 0.3648 0.0000 0.2785
Au1 Au 0.3442 0.3153 0.6981
# ΔE_f   -0.3572 eV per atom
# Fermi-level density of states   25.752 states/eV/cell

8.
# Tm5InHg4, relaxed, DFT PBE-GGA
data_Tm5InHg4
_symmetry_space_group_name_H-M 'P 4/m m m'
_symmetry_Int_Tables_number 123
_symmetry_space_group_name_Hall '-P 4 2'
_cell_length_a 3.6868
_cell_length_b 3.6868
_cell_length_c 18.3774
_cell_angle_alpha 90.00
_cell_angle_beta 90.00
_cell_angle_gamma 90.00
loop_
_atom_site_label
_atom_site_type_symbol
_atom_site_fract_x
_atom_site_fract_y
_atom_site_fract_z
Tm1 Tm 0.0000 0.0000 0.0000
Tm2 Tm 0.0000 0.0000 0.1987
Tm3 Tm 0.0000 0.0000 0.3959
In1 In 0.5000 0.5000 0.5000
Hg1 Hg 0.5000 0.5000 0.0999
Hg2 Hg 0.5000 0.5000 0.2977
# ΔE_f   -0.4681 eV per atom
# Fermi-level density of states   6.770 states/eV/cell